# 1
Here is a geometry-optimized Sr2AcBr structure from Alexandria via LeMat-Bulk. Energies are from PBE.

Results
total moment: 0.0 μB per formula unit
relative energy among the computed polymorphs: 0 meV per atom
DOS at the Fermi energy: 0.441 states/eV per atom

Cell and atoms, written as CIF:
```
data_Sr2AcBr
_chemical_formula_sum 'Sr2 Ac1 Br1'
_cell_length_a 4.135
_cell_length_b 4.135
_cell_length_c 11.493
_cell_angle_alpha 79.64
_cell_angle_beta 79.64
_cell_angle_gamma 60.00
_space_group_name_H-M_alt 'P 1'
_space_group_IT_number 1
loop_
_space_group_symop_operation_xyz
'x,y,z'
loop_
_atom_site_label
_atom_site_type_symbol
_atom_site_fract_x
_atom_site_fract_y
_atom_site_fract_z
_atom_site_occupancy
Br1 Br 0.667 0.667 0.000 1
Ac1 Ac 0.500 0.500 0.500 1
Sr1 Sr 0.263 0.263 0.210 1
Sr2 Sr 0.070 0.070 0.789 1
```

=====

# 2
Here is a geometry-optimized Pm2Pr2ThMg5 structure from Alexandria via LeMat-Bulk. Energies are from PBE.

Results
total moment: 0.0 μB per formula unit
energy relative to the elements: 0.08 eV/atom
DOS at the Fermi energy: 0.868 states/eV per atom

Cell and atoms, written as CIF:
```
data_Pm2Pr2ThMg5
_chemical_formula_sum 'Pm4 Pr4 Th2 Mg10'
_cell_length_a 5.233
_cell_length_b 10.691
_cell_length_c 10.691
_cell_angle_alpha 90.00
_cell_angle_beta 90.00
_cell_angle_gamma 90.00
_space_group_name_H-M_alt 'P 1'
_space_group_IT_number 1
loop_
_space_group_symop_operation_xyz
'x,y,z'
loop_
_atom_site_label
_atom_site_type_symbol
_atom_site_fract_x
_atom_site_fract_y
_atom_site_fract_z
_atom_site_occupancy
Mg1 Mg 0.500 0.000 0.500 1
Mg2 Mg 0.500 0.694 0.424 1
Mg3 Mg 0.500 0.500 0.000 1
Mg4 Mg 0.500 0.076 0.806 1
Mg5 Mg 0.500 0.924 0.194 1
Mg6 Mg 0.500 0.194 0.076 1
Mg7 Mg 0.500 0.424 0.306 1
Mg8 Mg 0.500 0.576 0.694 1
Mg9 Mg 0.500 0.806 0.924 1
Mg10 Mg 0.500 0.306 0.576 1
Pm1 Pm 0.000 0.124 0.624 1
Pm2 Pm 0.000 0.376 0.124 1
Pm3 Pm 0.000 0.624 0.876 1
Pm4 Pm 0.000 0.876 0.376 1
Th1 Th 0.000 0.000 0.000 1
Th2 Th 0.000 0.500 0.500 1
Pr1 Pr 0.000 0.176 0.324 1
Pr2 Pr 0.000 0.824 0.676 1
Pr3 Pr 0.000 0.676 0.176 1
Pr4 Pr 0.000 0.324 0.824 1
```

=====

# 3
Here is a geometry-optimized PaGaCo4 structure from Alexandria via LeMat-Bulk. Energies are from PBE.

Results
total moment: 1.5 μB per formula unit
relative energy among the computed polymorphs: 0 meV per atom
energy relative to the elements: -0.26 eV/atom
DOS at the Fermi energy: 1.517 states/eV per atom

Cell and atoms, written as CIF:
```
data_PaGaCo4
_chemical_formula_sum 'Pa1 Ga1 Co4'
_cell_length_a 4.875
_cell_length_b 4.875
_cell_length_c 4.875
_cell_angle_alpha 60.00
_cell_angle_beta 60.00
_cell_angle_gamma 60.00
_space_group_name_H-M_alt 'P 1'
_space_group_IT_number 1
loop_
_space_group_symop_operation_xyz
'x,y,z'
loop_
_atom_site_label
_atom_site_type_symbol
_atom_site_fract_x
_atom_site_fract_y
_atom_site_fract_z
_atom_site_occupancy
Co1 Co 0.627 0.627 0.120 1
Co2 Co 0.120 0.627 0.627 1
Co3 Co 0.627 0.627 0.627 1
Co4 Co 0.627 0.120 0.627 1
Ga1 Ga 0.000 0.000 0.000 1
Pa1 Pa 0.250 0.250 0.250 1
```

=====

# 4
Here is a geometry-optimized NdSc3Ga2 structure from Alexandria via LeMat-Bulk. Energies are from PBE.

Results
total moment: 0.0 μB per formula unit
relative energy among the computed polymorphs: 50 meV per atom
energy relative to the elements: -0.38 eV/atom
DOS at the Fermi energy: 0.759 states/eV per atom

Cell and atoms, written as CIF:
```
data_NdSc3Ga2
_chemical_formula_sum 'Nd2 Sc6 Ga4'
_cell_length_a 4.471
_cell_length_b 8.736
_cell_length_c 8.858
_cell_angle_alpha 120.43
_cell_angle_beta 90.00
_cell_angle_gamma 104.83
_space_group_name_H-M_alt 'P 1'
_space_group_IT_number 1
loop_
_space_group_symop_operation_xyz
'x,y,z'
loop_
_atom_site_label
_atom_site_type_symbol
_atom_site_fract_x
_atom_site_fract_y
_atom_site_fract_z
_atom_site_occupancy
Nd1 Nd 0.871 0.743 0.872 1
Nd2 Nd 0.129 0.257 0.128 1
Ga1 Ga 0.500 0.000 0.855 1
Ga2 Ga 0.200 0.399 0.699 1
Ga3 Ga 0.800 0.601 0.301 1
Ga4 Ga 0.500 0.000 0.145 1
Sc1 Sc 0.001 0.001 0.332 1
Sc2 Sc 0.999 0.999 0.668 1
Sc3 Sc 0.669 0.338 0.860 1
Sc4 Sc 0.331 0.662 0.140 1
Sc5 Sc 0.670 0.339 0.478 1
Sc6 Sc 0.330 0.661 0.522 1
```

=====

# 5
Here is a geometry-optimized Zr2GaSb structure from Alexandria via LeMat-Bulk. Energies are from PBE.

Results
total moment: 0.0 μB per formula unit
calculated total energy: -6.582 eV/atom
DOS at the Fermi energy: 0.446 states/eV per atom

Cell and atoms, written as CIF:
```
data_Zr2GaSb
_chemical_formula_sum 'Zr2 Ga1 Sb1'
_cell_length_a 3.955
_cell_length_b 3.955
_cell_length_c 7.128
_cell_angle_alpha 73.89
_cell_angle_beta 73.89
_cell_angle_gamma 60.00
_space_group_name_H-M_alt 'P 1'
_space_group_IT_number 1
loop_
_space_group_symop_operation_xyz
'x,y,z'
loop_
_atom_site_label
_atom_site_type_symbol
_atom_site_fract_x
_atom_site_fract_y
_atom_site_fract_z
_atom_site_occupancy
Zr1 Zr 0.743 0.743 0.770 1
Zr2 Zr 0.257 0.257 0.230 1
Ga1 Ga 0.000 0.000 0.000 1
Sb1 Sb 0.500 0.500 0.500 1
```

=====

# 6
Here is a geometry-optimized TlGaSb structure from Alexandria via LeMat-Bulk. Energies are from PBE.

Results
total moment: 0.0 μB per formula unit
relative energy among the computed polymorphs: 111 meV per atom
DOS at the Fermi energy: 1.059 states/eV per atom

Cell and atoms, written as CIF:
```
data_TlGaSb
_chemical_formula_sum 'Tl1 Ga1 Sb1'
_cell_length_a 5.006
_cell_length_b 5.006
_cell_length_c 5.006
_cell_angle_alpha 60.00
_cell_angle_beta 60.00
_cell_angle_gamma 60.00
_space_group_name_H-M_alt 'P 1'
_space_group_IT_number 1
loop_
_space_group_symop_operation_xyz
'x,y,z'
loop_
_atom_site_label
_atom_site_type_symbol
_atom_site_fract_x
_atom_site_fract_y
_atom_site_fract_z
_atom_site_occupancy
Ga1 Ga 0.250 0.250 0.250 1
Sb1 Sb 0.000 0.000 0.000 1
Tl1 Tl 0.500 0.500 0.500 1
```